Computed, not measured: Cd2Au3 after structural relaxation at the PBE-GGA level of DFT.

The value obtained for the formation energy from the elements is 0.054 eV/atom. Its calculated total energy is -0.084 hartree per atom.

The space group is R-3c (No. 167, hexagonal axes) and the conventional cell measures 7.1290, 7.1290 and 15.0026 Å, with angles of 90.00, 90.00 and 120.00 degrees. The distinct sites, in fractional coordinates, are Cd at (0.0000, 0.0000, 0.0936) and Au at (0.0000, 0.2357, 0.2500).